A plane-wave DFT calculation with GGA-PBE was carried out for an optimized crystal structure of ZrSc2Cr.

Cell: 5.9237 5.9237 5.9237 Å, 147.58 131.68 59.40°
Site moments in Bohr magnetons follow the coordinates.
Fractional positions:
Zr 0.7500 0.2500 0.5000  -0.20
Sc 0.0318 0.0318 0.0000  0.00
Sc 0.4682 0.4682 0.0000  0.00
Cr 0.2500 0.7500 0.5000  2.44

DFT formation energy: 0.7 eV per formula unit
total magnetic moment: 0.59 μB per atom
E above lowest polymorph: 9 meV per atom
mass density: 4.69 g/cm³
space-group type: Immm
final energy: -7.545 eV per atom